# 1
A plane-wave DFT calculation with PBE-GGA was carried out for crystalline LaScPt3 at its relaxed geometry.

Lattice parameters (Å, degrees): 4.909 4.909 4.909 90.00 90.00 90.00
Fractional positions:
Sc: 0.000 0.000 0.000
Pt: 0.500 0.000 0.000
Pt: 0.000 0.000 0.500
Pt: 0.000 0.500 0.000
La: 0.500 0.500 0.500

For the energy above the most stable polymorph in this dataset, the calculation gives 0 meV per atom. The calculation puts the energy of formation from the pure elements at -0.53 eV per atom. As for the density: 10.79 Mg/m³.

# 2
A plane-wave DFT calculation with PBE-GGA was carried out for crystalline OsSF2 at its relaxed geometry.

Lattice parameters (Å, degrees): 7.686 7.686 5.858 49.00 49.00 90.00
Fractional positions:
Os: 0.750 0.250 0.500
Os: 0.000 0.000 0.000
F: 0.375 0.235 0.750
F: 0.875 0.015 0.750
F: 0.985 0.625 0.250
F: 0.765 0.125 0.250
S: 0.250 0.750 0.500
S: 0.500 0.500 0.000

For the energy above the most stable polymorph in this dataset, the calculation gives 119 meV per atom. The uncorrected formation energy comes out at -0.40 eV per atom. As for the density: 6.69 Mg/m³.

# 3
A plane-wave DFT calculation with PBE-GGA was carried out for crystalline AcNdHoIn at its relaxed geometry.

Lattice parameters (Å, degrees): 5.655 5.655 5.655 60.00 60.00 60.00
Fractional positions:
In: 0.000 0.000 0.000
Ac: 0.500 0.500 0.500
Ho: 0.750 0.750 0.750
Nd: 0.250 0.250 0.250

The calculation puts the energy of formation from the pure elements at -0.06 eV per atom. As for the density: 8.46 Mg/m³.

# 4
A plane-wave DFT calculation with PBE-GGA was carried out for crystalline DyEr3Zn4 at its relaxed geometry.

Lattice parameters (Å, degrees): 5.003 7.127 10.002 90.00 90.00 90.00
Fractional positions:
Zn: 0.000 0.752 0.750
Zn: 0.500 0.248 0.000
Zn: 0.000 0.248 0.750
Zn: 0.500 0.752 0.500
Zn: 0.000 0.248 0.250
Zn: 0.000 0.752 0.250
Zn: 0.500 0.752 0.000
Zn: 0.500 0.248 0.500
Dy: 0.000 0.500 0.500
Dy: 0.000 0.500 0.000
Er: 0.500 0.000 0.250
Er: 0.000 0.000 0.000
Er: 0.500 0.500 0.750
Er: 0.500 0.500 0.250
Er: 0.500 0.000 0.750
Er: 0.000 0.000 0.500

The calculation puts the energy of formation from the pure elements at -0.35 eV per atom. As for the density: 8.62 Mg/m³.

Repeat the first record exactly.
A plane-wave DFT calculation with PBE-GGA was carried out for crystalline LaScPt3 at its relaxed geometry.

Lattice parameters (Å, degrees): 4.909 4.909 4.909 90.00 90.00 90.00
Fractional positions:
Sc: 0.000 0.000 0.000
Pt: 0.500 0.000 0.000
Pt: 0.000 0.000 0.500
Pt: 0.000 0.500 0.000
La: 0.500 0.500 0.500

For the energy above the most stable polymorph in this dataset, the calculation gives 0 meV per atom. The calculation puts the energy of formation from the pure elements at -0.53 eV per atom. As for the density: 10.79 Mg/m³.